Entry 1:
## Pm4GaSn3 (PBE)

Data for a relaxed structure of Pm4GaSn3.

Unit cell a=4.3105 b=4.6198 c=11.5748 alpha=90.00 beta=90.00 gamma=90.00
With the nearest neighbours (Å) after each atom.
Space group Pmm2 (No. 25)
Asymmetric unit:
1 Pm 0.0000 0.0000 0.0000 x1  1 Ga 3.13, 4 Sn 3.22
2 Pm 0.0000 0.5000 0.4892 x1  5 Sn 3.20-3.23, 2 Ga 3.43
3 Pm 0.5000 0.0000 0.7174 x1  7 Sn 3.21-3.50
4 Pm 0.5000 0.5000 0.2210 x1  3 Sn 3.19-3.37, 4 Ga 3.21
5 Ga 0.0000 0.0000 0.2707 x1  2 Sn 2.86, 1 Pm 3.13
6 Sn 0.0000 0.5000 0.7658 x1  2 Sn 2.99, 5 Pm 3.20-3.21
7 Sn 0.5000 0.0000 0.4332 x1  2 Ga 2.86
8 Sn 0.5000 0.5000 0.9451 x1  2 Sn 2.99, 5 Pm 3.19-3.22

## Properties
- DFT total energy (eV per cell) = -40.01

Entry 2:
## Pm3Ga2Sn3 (PBE)

Data for a relaxed structure of Pm3Ga2Sn3.

Unit cell a=4.7932 b=11.4039 c=15.3341 alpha=90.00 beta=90.00 gamma=90.00
With the nearest neighbours (Å) after each atom.
Space group Cmcm (No. 63)
Asymmetric unit:
1 Pm 0.0000 0.0540 0.2500 x4  7 Sn 3.26-3.42, 2 Ga 3.42
2 Pm 0.0000 0.1455 0.5362 x8  2 Ga 3.06, 3 Sn 3.24-3.42
3 Ga 0.0000 0.3279 0.1588 x8  1 Ga 2.80, 3 Sn 2.85-2.86, 2 Pm 3.06
4 Sn 0.0000 0.2320 0.7500 x4  4 Ga 2.86
5 Sn 0.0000 0.4390 0.5916 x8  1 Ga 2.85, 1 Sn 3.14

## Properties
- polymorph energy (0 for the lowest one) (meV/atom) = 94

Entry 3:
## Pm2GaSn6 (PBE)

Data for a relaxed structure of Pm2GaSn6.

Unit cell a=16.0462 b=8.4963 c=4.4189 alpha=90.00 beta=105.78 gamma=90.00
With the nearest neighbours (Å) after each atom.
Space group Cm (No. 8)
Asymmetric unit:
1 Pm 0.0000 0.0000 0.0000 x2  10 Sn 3.33-3.50
2 Pm 0.2501 0.0000 0.2500 x2  10 Sn 3.34-3.50
3 Ga 0.1257 0.5000 0.6277 x2  2 Sn 2.65
4 Sn 0.1251 0.1880 0.6250 x4  1 Ga 2.65
5 Sn 0.3158 0.2952 0.8163 x4  3 Sn 2.97-3.08
6 Sn 0.4347 0.2038 0.4333 x4  3 Sn 2.97-3.08

## Properties
- DFT total energy (eV per cell) = -76.07

Entry 4:
## Pm5Ga12Sn3 (PBE)

Data for a relaxed structure of Pm5Ga12Sn3.

Unit cell a=16.8736 b=16.8736 c=16.8736 alpha=90.00 beta=90.00 gamma=90.00
With the nearest neighbours (Å) after each atom.
Space group Ia-3d (No. 230)
Asymmetric unit:
1 Pm 0.0000 0.0000 0.0000 x16  6 Ga 2.92
2 Pm 0.0000 0.2500 0.3750 x24  4 Ga 3.06
3 Ga 0.0033 0.0829 0.1518 x96  1 Ga 2.67, 2 Sn 2.86-2.99, 1 Pm 2.92
4 Sn 0.0000 0.2500 0.1250 x24  8 Ga 2.86-2.99

## Properties
- DFT total energy (eV per cell) = -562.60